No. 1
Below is a relaxed structure of DyYZnCo, with properties calculated at the PBE-GGA level.

Results
Formation enthalpy at 0 K   -226.9 meV/atom
Energy above the most stable polymorph in this dataset   0.05 eV per formula unit
Raw total energy   -81.4 eV per cell

a b c (Å): 6.9000 6.9000 6.9000
angles (deg): 90.00 90.00 90.00
Space group F-43m (No. 216)
One atom of each set of equivalent atoms:
Dy 0.0000 0.0000 0.0000
Y 0.0000 0.0000 0.5000
Zn 0.2500 0.2500 0.2500
Co 0.2500 0.2500 0.7500

No. 2
Below is a relaxed structure of DyYZnCo, with properties calculated at the PBE-GGA level.

Results
Formation enthalpy at 0 K   -240.6 meV/atom
Energy above the most stable polymorph in this dataset   0.00 eV per formula unit
Raw total energy   -40.8 eV per cell

a b c (Å): 4.2179 3.8548 10.6221
angles (deg): 90.00 90.00 90.00
Space group Amm2 (No. 38)
One atom of each set of equivalent atoms:
Dy 0.0000 0.0000 0.0000
Y 0.5000 0.0000 0.2815
Zn 0.0000 0.0000 0.7061
Co 0.5000 0.0000 0.5738

No. 3
Below is a relaxed structure of DyZn11Co, with properties calculated at the PBE-GGA level.

Results
Formation enthalpy at 0 K   -172.8 meV/atom
Raw total energy   -55.9 eV per cell

a b c (Å): 5.0453 12.5998 6.7480
angles (deg): 90.00 111.90 90.00
Space group C2/m (No. 12)
One atom of each set of equivalent atoms:
Dy 0.0000 0.0000 0.0000
Zn 0.0000 0.5000 0.5000
Zn 0.1175 0.3937 0.2201
Zn 0.1611 0.1705 0.3588
Zn 0.2500 0.2500 0.0000
Co 0.0000 0.0000 0.5000

No. 4
Below is a relaxed structure of Dy2Zn5Co5, with properties calculated at the PBE-GGA level.

Results
Formation enthalpy at 0 K   -173.4 meV/atom
Raw total energy   -53.2 eV per cell

a b c (Å): 4.0536 5.0315 8.8984
angles (deg): 90.00 90.00 90.00
Space group Pmmm (No. 47)
One atom of each set of equivalent atoms:
Dy 0.0000 0.0000 0.0000
Dy 0.0000 0.5000 0.5000
Zn 0.0000 0.0000 0.3236
Zn 0.0000 0.5000 0.1687
Zn 0.5000 0.0000 0.5000
Co 0.5000 0.2461 0.2403
Co 0.5000 0.5000 0.0000

No. 5
Below is a relaxed structure of DyZn7Co5, with properties calculated at the PBE-GGA level.

Results
Formation enthalpy at 0 K   -149.6 meV/atom
Raw total energy   -102.0 eV per cell

a b c (Å): 4.9461 8.5467 8.5895
angles (deg): 90.00 90.00 90.00
Space group Imm2 (No. 44)
One atom of each set of equivalent atoms:
Dy 0.0000 0.0000 0.0000
Zn 0.0000 0.0000 0.3460
Zn 0.0000 0.0000 0.6674
Zn 0.0000 0.2859 0.5174
Zn 0.0000 0.3453 0.0238
Zn 0.0000 0.5000 0.7433
Co 0.0000 0.5000 0.2860
Co 0.2464 0.2442 0.7709

No. 6
Below is a relaxed structure of Dy2ZnCo2, with properties calculated at the PBE-GGA level.

Results
Formation enthalpy at 0 K   -288.8 meV/atom
Raw total energy   -104.5 eV per cell

a b c (Å): 9.4656 5.2923 7.5556
angles (deg): 90.00 104.71 90.00
Space group C2/c (No. 15)
One atom of each set of equivalent atoms:
Dy 0.1451 0.1523 0.1451
Zn 0.0000 0.3657 0.7500
Co 0.1456 0.3487 0.5079